Entry 1:
Here is an optimized crystal structure of GdHoCuAg from Alexandria. Energies are from PBE.

The total energy comes out at -6.655 eV per atom. The volume comes out at 365 Å³/cell. Its spin magnetization is 7.16 μB per formula unit. For the theoretical density, the calculation gives 8972 kg/m3. The energy of formation from the pure elements is -97.7 kJ/mol of formula units.

The structure belongs to space group F-43m (No. 216); the cell edges are 7.149, 7.149 and 7.149 Å and the angles 90.00°, 90.00° and 90.00°. The distinct sites, in fractional coordinates, are Gd at (0.000, 0.000, 0.000), Ho at (0.000, 0.000, 0.500), Cu at (0.250, 0.250, 0.750) and Ag at (0.250, 0.250, 0.250).


Entry 2:
Here is an optimized crystal structure of GdInCuAg from Alexandria. Energies are from PBE.

The total energy comes out at -6.245 eV per atom. The volume comes out at 328 Å³/cell. Its spin magnetization is 7.20 μB per formula unit. For the theoretical density, the calculation gives 8978 kg/m3. The energy of formation from the pure elements is -117.2 kJ/mol of formula units.

The structure belongs to space group F-43m (No. 216); the cell edges are 6.897, 6.897 and 6.897 Å and the angles 90.00°, 90.00° and 90.00°. The distinct sites, in fractional coordinates, are Gd at (0.000, 0.000, 0.000), In at (0.000, 0.000, 0.500), Cu at (0.250, 0.250, 0.750) and Ag at (0.250, 0.250, 0.250).


Entry 3:
Here is an optimized crystal structure of LaGdCuAg from Alexandria. Energies are from PBE.

The total energy comes out at -6.687 eV per atom. The volume comes out at 400 Å³/cell. Its spin magnetization is 7.40 μB per formula unit. For the theoretical density, the calculation gives 7774 kg/m3. The energy of formation from the pure elements is -76.6 kJ/mol of formula units.

The structure belongs to space group F-43m (No. 216); the cell edges are 7.365, 7.365 and 7.365 Å and the angles 90.00°, 90.00° and 90.00°. The distinct sites, in fractional coordinates, are La at (0.000, 0.000, 0.000), Gd at (0.000, 0.000, 0.500), Cu at (0.250, 0.250, 0.250) and Ag at (0.250, 0.250, 0.750).


Entry 4:
Here is an optimized crystal structure of NdGdCuAg from Alexandria. Energies are from PBE.

The total energy comes out at -6.655 eV per atom. The volume comes out at 387 Å³/cell. Its spin magnetization is 7.38 μB per formula unit. For the theoretical density, the calculation gives 8109 kg/m3. The energy of formation from the pure elements is -79.6 kJ/mol of formula units.

The structure belongs to space group F-43m (No. 216); the cell edges are 7.290, 7.290 and 7.290 Å and the angles 90.00°, 90.00° and 90.00°. The distinct sites, in fractional coordinates, are Nd at (0.000, 0.000, 0.000), Gd at (0.000, 0.000, 0.500), Cu at (0.250, 0.250, 0.250) and Ag at (0.250, 0.250, 0.750).